VASP calculation (PBE-GGA) on crystalline Dy4B2PbS at its relaxed geometry.

## Properties
VASP energy in Ry per atom: -0.408
Total magnetization in μB per atom: 0.0021

a = 3.715 Å, b = 3.715 Å, c = 15.175 Å
α = 90.00°, β = 90.00°, γ = 120.00°
Positions (direct):
B: 0.667 0.333 0.276
B: 0.667 0.333 0.724
Dy: 0.333 0.667 0.178
Dy: 0.000 0.000 0.378
Dy: 0.000 0.000 0.622
Dy: 0.333 0.667 0.822
Pb: 0.000 0.000 0.000
S: 0.333 0.667 0.500